The following is a DFT calculation (PBE) of a geometry-optimized InCoCuNi structure.

Cell: 4.202 4.202 4.202 Å, 60.00 60.00 60.00°
Element x y z (fractional)
In (0.250, 0.250, 0.250)
Co (0.500, 0.500, 0.500)
Cu (0.750, 0.750, 0.750)
Ni (0.000, 0.000, 0.000)

Calculated values
- E above lowest polymorph: 0.000 eV per atom

=====

The following is a DFT calculation (PBE) of a geometry-optimized UZnPt structure.

Cell: 4.641 4.641 4.641 Å, 60.00 60.00 60.00°
Element x y z (fractional)
Zn (0.750, 0.750, 0.750)
Pt (0.250, 0.250, 0.250)
U (0.000, 0.000, 0.000)

Calculated values
- Energy of formation: 0.2701 eV/atom

=====

The following is a DFT calculation (PBE) of a geometry-optimized NbTeMo structure.

Cell: 4.477 4.477 4.477 Å, 60.00 60.00 60.00°
Element x y z (fractional)
Mo (0.000, 0.000, 0.000)
Nb (0.250, 0.250, 0.250)
Te (0.750, 0.750, 0.750)

Calculated values
- E above lowest polymorph: 0.000 eV per atom

=====

Number 1: electronic total energy -4.69 eV per atom. Number 2: electronic total energy -5.94 eV per atom. Number 3: electronic total energy -7.75 eV per atom.